Entry from Alexandria via LeMat-Bulk: a crystal of Ag2BrF2 relaxed with PBEsol (SCAN).

## Properties
As for the formation energy from raw total energies: -0.797 eV per atom.

Cell: 3.7643 3.7643 6.0950 Å, 107.99 107.99 90.00°
Positions (direct):
F: 0.7500 0.2500 0.5000
F: 0.2500 0.7500 0.5000
Br: 0.0000 0.0000 0.0000
Ag: 0.3712 0.3712 0.7425
Ag: 0.6288 0.6288 0.2575

Entry from Alexandria via LeMat-Bulk: a crystal of LiTiAsBr2 relaxed with PBEsol (SCAN).

## Properties
As for the formation energy from raw total energies: -0.660 eV per atom.

Cell: 4.9027 5.1112 5.1112 Å, 90.00 90.00 90.00°
Positions (direct):
As: 0.5000 0.0000 0.0000
Ti: 0.0000 0.0000 0.0000
Li: 0.5000 0.5000 0.5000
Br: 0.0000 0.5000 0.0000
Br: 0.0000 0.0000 0.5000

Entry from Alexandria via LeMat-Bulk: a crystal of CrNi2Pt relaxed with PBEsol (SCAN).

## Properties
The energy relative to the elements is -0.14 eV per atom.

Cell: 2.5869 3.5742 5.0742 Å, 90.00 90.00 90.00°
Positions (direct):
Ni: 0.5000 0.5000 0.2284
Ni: 0.0000 0.0000 0.0009
Pt: 0.0000 0.0000 0.5043
Cr: 0.5000 0.5000 0.7663

Entry from Alexandria via LeMat-Bulk: a crystal of ScInCu2 relaxed with PBEsol (SCAN).

## Properties
The energy relative to the elements is -0.18 eV per atom.

Cell: 4.4715 4.4951 4.4715 Å, 60.17 90.00 119.83°
Positions (direct):
In: 0.5000 0.0000 0.5000
Sc: 0.7500 0.5000 0.7500
Cu: 0.0000 0.0000 0.0000
Cu: 0.2500 0.5000 0.2500

Across the entries above, E_tot takes the values -93.259; -80.828; -121.468; -78.759 eV per cell, respectively.
Across the entries above, DOS at the Fermi energy takes the values 5.6; 2.4; 3.7; 1.5 states/eV per cell, respectively.